Record 1
V2BiSeF, relaxed, DFT PBE with a Hubbard U; electronic total energy = -19.826 eV/cell; D(E_F) = 1.31 states/eV/atom; total moment = 6.9 μB/cell; space-group type = P4/mmm (123); V = 166.3 Å³ per cell
1.0
-5.399 -0.923 0.888
1.032 -1.036 5.199
-0.718 5.367 1.212
F Bi Se V
1 1 1 2
Cartesian
-2.542 1.704 3.650
0.000 0.000 0.000
0.516 -0.518 2.600
-0.359 2.683 0.606
-2.699 -0.461 0.444


Record 2
VBi2SeF, relaxed, DFT PBE with a Hubbard U; electronic total energy = -19.125 eV/cell; D(E_F) = 0.78 states/eV/atom; total moment = 0.0 μB/cell; space-group type = P4/mmm (123); V = 116.0 Å³ per cell
1.0
-5.268 -0.962 -1.097
-0.666 -0.651 3.769
-1.118 5.302 0.718
F Bi Se V
1 2 1 1
Cartesian
0.000 0.000 0.000
-0.559 2.651 0.359
-2.634 -0.481 -0.549
-3.526 1.845 1.695
-0.333 -0.326 1.884


Question: Among the records above, which one has the highest D(E_F)?
Answer: V2BiSeF


Question: V of number 1 (V2BiSeF)?
Answer: 166.3 Å³ per cell